A plane-wave DFT calculation with PBE was carried out for an optimized crystal structure of LaNd3Ho2.

The energy of formation comes out at 0.301 eV per atom. Its density of states at the Fermi level is 10.90 states/eV/f.u. The crystal system is orthorhombic.

It has space group Immm (No. 71), with a = 3.5058 Å, b = 6.0015 Å, c = 19.8612 Å, α = 90.00°, β = 90.00° and γ = 90.00°. The asymmetric unit holds La at (0.0000, 0.0000, 0.0000), Nd at (0.0000, 0.0000, 0.1920), Nd at (0.0000, 0.5000, 0.0000) and Ho at (0.0000, 0.0000, 0.3621).